# 1
# Y2FeB10 PBE-GGA relaxed
data_Y2FeB10
_symmetry_space_group_name_H-M 'P 1'
_symmetry_Int_Tables_number 1
_cell_length_a 4.151
_cell_length_b 5.580
_cell_length_c 11.111
_cell_angle_alpha 90.00
_cell_angle_beta 90.00
_cell_angle_gamma 90.00
loop_
_symmetry_equiv_pos_as_xyz
'x,y,z'
loop_
_atom_site_label
_atom_site_type_symbol
_atom_site_fract_x
_atom_site_fract_y
_atom_site_fract_z
B1 B 0.701 0.204 0.113
B2 B 0.701 0.796 0.887
B3 B 0.000 0.467 0.686
B4 B 0.000 0.155 0.698
B5 B 0.000 0.967 0.814
B6 B 0.299 0.204 0.113
B7 B 0.000 0.128 0.539
B8 B 0.299 0.296 0.613
B9 B 0.000 0.628 0.961
B10 B 0.000 0.845 0.302
B11 B 0.000 0.533 0.314
B12 B 0.000 0.655 0.802
B13 B 0.299 0.796 0.887
B14 B 0.000 0.033 0.186
B15 B 0.000 0.872 0.461
B16 B 0.000 0.372 0.039
B17 B 0.701 0.296 0.613
B18 B 0.299 0.704 0.387
B19 B 0.000 0.345 0.198
B20 B 0.701 0.704 0.387
Fe1 Fe 0.000 0.500 0.500
Fe2 Fe 0.000 0.000 0.000
Y1 Y 0.500 0.215 0.371
Y2 Y 0.500 0.285 0.871
Y3 Y 0.500 0.785 0.629
Y4 Y 0.500 0.715 0.129
# Total magnetic moment, μB per cell: 0.0
# V, A^3/atom: 9.90
# ΔE_f, meV/atom: -499



# 2
# Y2FeB PBE-GGA relaxed
data_Y2FeB
_symmetry_space_group_name_H-M 'P 1'
_symmetry_Int_Tables_number 1
_cell_length_a 3.617
_cell_length_b 3.617
_cell_length_c 7.347
_cell_angle_alpha 75.71
_cell_angle_beta 75.75
_cell_angle_gamma 60.00
loop_
_symmetry_equiv_pos_as_xyz
'x,y,z'
loop_
_atom_site_label
_atom_site_type_symbol
_atom_site_fract_x
_atom_site_fract_y
_atom_site_fract_z
Y1 Y 0.716 0.478 0.090
Y2 Y 0.889 0.653 0.568
Fe1 Fe 0.469 0.232 0.829
B1 B 0.136 0.899 0.829
# Total magnetic moment, μB per cell: 0.0
# V, A^3/atom: 19.95
# Excess energy over the best structure of this formula in the dataset, eV/atom: 0.0000
# ΔE_f, meV/atom: -222



# 3
# YFe2B4 PBE-GGA relaxed
data_YFe2B4
_symmetry_space_group_name_H-M 'P 1'
_symmetry_Int_Tables_number 1
_cell_length_a 3.065
_cell_length_b 3.276
_cell_length_c 7.283
_cell_angle_alpha 103.00
_cell_angle_beta 102.15
_cell_angle_gamma 90.00
loop_
_symmetry_equiv_pos_as_xyz
'x,y,z'
loop_
_atom_site_label
_atom_site_type_symbol
_atom_site_fract_x
_atom_site_fract_y
_atom_site_fract_z
B1 B 0.896 0.396 0.793
B2 B 0.104 0.604 0.207
B3 B 0.342 0.342 0.684
B4 B 0.658 0.658 0.316
Fe1 Fe 0.807 0.807 0.615
Fe2 Fe 0.193 0.193 0.385
Y1 Y 0.500 0.000 0.000
# Total magnetic moment, μB per cell: 2.5
# V, A^3/atom: 9.94
# ΔE_f, meV/atom: -324



# 4
# YFeB4 PBE-GGA relaxed
data_YFeB4
_symmetry_space_group_name_H-M 'P 1'
_symmetry_Int_Tables_number 1
_cell_length_a 3.379
_cell_length_b 5.896
_cell_length_c 11.406
_cell_angle_alpha 90.00
_cell_angle_beta 90.00
_cell_angle_gamma 90.00
loop_
_symmetry_equiv_pos_as_xyz
'x,y,z'
loop_
_atom_site_label
_atom_site_type_symbol
_atom_site_fract_x
_atom_site_fract_y
_atom_site_fract_z
B1 B 0.000 0.111 0.046
B2 B 0.000 0.475 0.690
B3 B 0.000 0.639 0.032
B4 B 0.000 0.782 0.684
B5 B 0.000 0.218 0.316
B6 B 0.000 0.611 0.454
B7 B 0.000 0.718 0.184
B8 B 0.000 0.025 0.190
B9 B 0.000 0.282 0.816
B10 B 0.000 0.389 0.546
B11 B 0.000 0.361 0.968
B12 B 0.000 0.525 0.310
B13 B 0.000 0.889 0.954
B14 B 0.000 0.975 0.810
B15 B 0.000 0.861 0.532
B16 B 0.000 0.139 0.468
Y1 Y 0.500 0.873 0.350
Y2 Y 0.500 0.373 0.150
Y3 Y 0.500 0.127 0.650
Y4 Y 0.500 0.627 0.850
Fe1 Fe 0.500 0.633 0.588
Fe2 Fe 0.500 0.133 0.912
Fe3 Fe 0.500 0.867 0.088
Fe4 Fe 0.500 0.367 0.412
# Total magnetic moment, μB per cell: 0.0
# V, A^3/atom: 9.47
# ΔE_f, meV/atom: -601



# 5
# YFeB3 PBE-GGA relaxed
data_YFeB3
_symmetry_space_group_name_H-M 'P 1'
_symmetry_Int_Tables_number 1
_cell_length_a 4.424
_cell_length_b 4.424
_cell_length_c 4.424
_cell_angle_alpha 90.00
_cell_angle_beta 90.00
_cell_angle_gamma 90.00
loop_
_symmetry_equiv_pos_as_xyz
'x,y,z'
loop_
_atom_site_label
_atom_site_type_symbol
_atom_site_fract_x
_atom_site_fract_y
_atom_site_fract_z
B1 B 0.500 0.000 0.000
B2 B 0.000 0.000 0.500
B3 B 0.000 0.500 0.000
Fe1 Fe 0.500 0.500 0.500
Y1 Y 0.000 0.000 0.000
# Total magnetic moment, μB per cell: 0.1
# V, A^3/atom: 17.32
# Excess energy over the best structure of this formula in the dataset, eV/atom: 2.8113
# ΔE_f, meV/atom: 2805



# 6
# YFe5B2 PBE-GGA relaxed
data_YFe5B2
_symmetry_space_group_name_H-M 'P 1'
_symmetry_Int_Tables_number 1
_cell_length_a 3.264
_cell_length_b 5.687
_cell_length_c 5.687
_cell_angle_alpha 70.70
_cell_angle_beta 73.32
_cell_angle_gamma 73.32
loop_
_symmetry_equiv_pos_as_xyz
'x,y,z'
loop_
_atom_site_label
_atom_site_type_symbol
_atom_site_fract_x
_atom_site_fract_y
_atom_site_fract_z
Fe1 Fe 0.661 0.154 0.525
Fe2 Fe 0.339 0.475 0.846
Fe3 Fe 0.000 0.500 0.500
Fe4 Fe 0.339 0.846 0.475
Fe5 Fe 0.661 0.525 0.154
Y1 Y 0.000 0.000 0.000
B1 B 0.754 0.746 0.746
B2 B 0.246 0.254 0.254
# Total magnetic moment, μB per cell: 9.3
# V, A^3/atom: 11.66
# ΔE_f, meV/atom: -273



# 7
# YFe12B6 PBE-GGA relaxed
data_YFe12B6
_symmetry_space_group_name_H-M 'P 1'
_symmetry_Int_Tables_number 1
_cell_length_a 6.031
_cell_length_b 6.031
_cell_length_c 6.031
_cell_angle_alpha 104.33
_cell_angle_beta 104.33
_cell_angle_gamma 104.33
loop_
_symmetry_equiv_pos_as_xyz
'x,y,z'
loop_
_atom_site_label
_atom_site_type_symbol
_atom_site_fract_x
_atom_site_fract_y
_atom_site_fract_z
Fe1 Fe 0.129 0.871 0.500
Fe2 Fe 0.500 0.871 0.129
Fe3 Fe 0.453 0.453 0.186
Fe4 Fe 0.186 0.453 0.453
Fe5 Fe 0.129 0.500 0.871
Fe6 Fe 0.871 0.500 0.129
Fe7 Fe 0.500 0.129 0.871
Fe8 Fe 0.814 0.547 0.547
Fe9 Fe 0.547 0.814 0.547
Fe10 Fe 0.453 0.186 0.453
Fe11 Fe 0.547 0.547 0.814
Fe12 Fe 0.871 0.129 0.500
B1 B 0.767 0.767 0.306
B2 B 0.306 0.767 0.767
B3 B 0.233 0.694 0.233
B4 B 0.767 0.306 0.767
B5 B 0.233 0.233 0.694
B6 B 0.694 0.233 0.233
Y1 Y 0.000 0.000 0.000
# Total magnetic moment, μB per cell: 18.4
# V, A^3/atom: 10.23
# ΔE_f, meV/atom: -286



# 8
# YFe7B3 PBE-GGA relaxed
data_YFe7B3
_symmetry_space_group_name_H-M 'P 1'
_symmetry_Int_Tables_number 1
_cell_length_a 6.694
_cell_length_b 6.694
_cell_length_c 7.280
_cell_angle_alpha 62.63
_cell_angle_beta 62.63
_cell_angle_gamma 60.00
loop_
_symmetry_equiv_pos_as_xyz
'x,y,z'
loop_
_atom_site_label
_atom_site_type_symbol
_atom_site_fract_x
_atom_site_fract_y
_atom_site_fract_z
Fe1 Fe 0.849 0.648 0.084
Fe2 Fe 0.580 0.151 0.916
Fe3 Fe 0.920 0.148 0.584
Fe4 Fe 0.352 0.580 0.916
Fe5 Fe 0.349 0.920 0.584
Fe6 Fe 0.852 0.651 0.416
Fe7 Fe 0.420 0.849 0.084
Fe8 Fe 0.648 0.420 0.084
Fe9 Fe 0.151 0.352 0.916
Fe10 Fe 0.651 0.080 0.416
Fe11 Fe 0.080 0.852 0.416
Fe12 Fe 0.148 0.349 0.584
Fe13 Fe 0.250 0.250 0.250
Fe14 Fe 0.750 0.750 0.750
B1 B 0.750 0.423 0.750
B2 B 0.077 0.750 0.750
B3 B 0.423 0.077 0.750
B4 B 0.250 0.577 0.250
B5 B 0.923 0.250 0.250
B6 B 0.577 0.923 0.250
Y1 Y 0.000 0.000 0.000
Y2 Y 0.500 0.500 0.500
# Total magnetic moment, μB per cell: 25.6
# V, A^3/atom: 10.88
# ΔE_f, meV/atom: -96